Entry 1:
Zr2TlO2 | meta-GGA SCAN | PBEsol geometry

Structure (CIF):
```
data_Zr2TlO2
_space_group_name_H-M_alt 'I 4/m m m'
_space_group_IT_number 139
_space_group_name_Hall '-I 4 2'
_cell_length_a 3.581
_cell_length_b 3.581
_cell_length_c 12.285
_cell_angle_alpha 90.00
_cell_angle_beta 90.00
_cell_angle_gamma 90.00
loop_
_atom_site_label
_atom_site_type_symbol
_atom_site_fract_x
_atom_site_fract_y
_atom_site_fract_z
Zr1 Zr 0.000 0.000 0.154
Tl1 Tl 0.000 0.000 0.500
O1 O 0.000 0.500 0.250
```

Its total magnetization is 0.000 μB/atom. For the total energy, the calculation gives -31.5614 eV/atom.

Entry 2:
KNa2Au | meta-GGA SCAN | PBEsol geometry

Structure (CIF):
```
data_KNa2Au
_space_group_name_H-M_alt 'F m -3 m'
_space_group_IT_number 225
_space_group_name_Hall '-F 4 2 3'
_cell_length_a 7.564
_cell_length_b 7.564
_cell_length_c 7.564
_cell_angle_alpha 90.00
_cell_angle_beta 90.00
_cell_angle_gamma 90.00
loop_
_atom_site_label
_atom_site_type_symbol
_atom_site_fract_x
_atom_site_fract_y
_atom_site_fract_z
K1 K 0.000 0.000 0.000
Na1 Na 0.250 0.250 0.250
Au1 Au 0.000 0.000 0.500
```

Its total magnetization is 0.000 μB/atom. For the formation enthalpy at 0 K, the calculation gives -4.0 kcal/mol of atoms.